This record from Alexandria via LeMat-Bulk describes a crystal of ZrTl2As relaxed with PBEsol. The functional is SCAN.

Cell lengths 3.154, 3.154, 9.014 Å; angles 90.00, 90.00, 90.00 degrees
Element x y z (fractional)
Zr 0.500 0.500 0.000
Tl 0.000 0.000 0.249
Tl 0.000 0.000 0.751
As 0.500 0.500 0.500

Crystal system: tetragonal
Energy: -194.53 eV per cell

***

This record from Alexandria via LeMat-Bulk describes a crystal of LiCd2Pb relaxed with PBEsol. The functional is SCAN.

Cell lengths 3.083, 5.130, 6.384 Å; angles 113.09, 103.03, 92.29 degrees
Element x y z (fractional)
Cd 0.000 0.000 0.500
Cd 0.500 0.500 0.500
Li 0.000 0.000 0.000
Pb 0.500 0.500 0.000

Crystal system: monoclinic
Energy: -139.51 eV per cell

***

This record from Alexandria via LeMat-Bulk describes a crystal of MnZn4Se5 relaxed with PBEsol. The functional is SCAN.

Cell lengths 4.000, 6.933, 8.972 Å; angles 74.99, 77.12, 73.23 degrees
Site moments in Bohr magnetons follow the coordinates.
Element x y z (fractional)
Se 0.401 0.546 0.651  0.01
Se 0.603 0.949 0.844  0.04
Se 0.201 0.150 0.448  0.01
Se 0.796 0.356 0.051  0.01
Se 0.998 0.749 0.255  0.02
Zn 0.198 0.402 0.201  0.02
Zn 0.602 0.200 0.596  0.01
Zn 0.399 0.798 0.404  0.01
Zn 0.801 0.599 0.798  0.02
Mn 0.999 0.001 0.001  4.39

Crystal system: monoclinic
Formation energy (no corrections): -8.172 eV per formula unit
E above lowest polymorph: 0.0 meV/atom

***

This record from Alexandria via LeMat-Bulk describes a crystal of LiPb3 relaxed with PBEsol. The functional is SCAN.

Cell lengths 3.455, 4.586, 6.830 Å; angles 90.00, 90.14, 90.00 degrees
Element x y z (fractional)
Li 0.000 0.000 0.000
Pb 0.501 0.500 0.765
Pb 0.000 0.000 0.500
Pb 0.499 0.500 0.235

Crystal system: monoclinic
Energy: -230.35 eV per cell

***

This record from Alexandria via LeMat-Bulk describes a crystal of MgCd2 relaxed with PBEsol. The functional is SCAN.

Cell lengths 3.136, 5.853, 7.470 Å; angles 107.79, 90.00, 105.54 degrees
Element x y z (fractional)
Cd 0.640 0.279 0.023
Cd 0.965 0.929 0.695
Cd 0.360 0.721 0.977
Cd 0.035 0.071 0.305
Mg 0.688 0.375 0.639
Mg 0.312 0.625 0.361

Crystal system: monoclinic
Energy: -132.14 eV per cell

***

This record from Alexandria via LeMat-Bulk describes a crystal of ZrSiTc relaxed with PBEsol. The functional is SCAN.

Cell lengths 4.345, 4.345, 4.345 Å; angles 60.00, 60.00, 60.00 degrees
Element x y z (fractional)
Si 0.000 0.000 0.000
Tc 0.500 0.500 0.500
Zr 0.250 0.250 0.250

Crystal system: cubic
Formation energy (no corrections): 1.723 eV per formula unit

***

This record from Alexandria via LeMat-Bulk describes a crystal of Mg2MoPb relaxed with PBEsol. The functional is SCAN.

Cell lengths 4.091, 4.091, 5.337 Å; angles 112.53, 112.53, 90.00 degrees
Element x y z (fractional)
Mg 0.500 0.500 0.000
Mg 0.750 0.250 0.500
Pb 0.250 0.750 0.500
Mo 0.000 0.000 0.000

Crystal system: tetragonal
Energy: -119.95 eV per cell

***

This record from Alexandria via LeMat-Bulk describes a crystal of SrSbPb relaxed with PBEsol. The functional is SCAN.

Cell lengths 5.386, 5.386, 5.386 Å; angles 60.00, 60.00, 60.00 degrees
Element x y z (fractional)
Sr 0.000 0.000 0.000
Pb 0.500 0.500 0.500
Sb 0.250 0.250 0.250

Crystal system: cubic
Formation energy (no corrections): -1.499 eV per formula unit
E above lowest polymorph: 0.0 meV/atom

***

This record from Alexandria via LeMat-Bulk describes a crystal of Sr3LaV3O12 relaxed with PBEsol. The functional is SCAN.

Cell lengths 5.543, 9.188, 10.829 Å; angles 94.31, 104.83, 90.00 degrees
Site moments in Bohr magnetons follow the coordinates.
Element x y z (fractional)
La 0.122 0.338 0.244  0.00
La 0.478 0.645 0.956  0.00
O 0.880 0.212 0.760  0.01
O 0.861 0.110 0.202  0.00
O 0.776 0.482 0.553  0.00
O 0.118 0.812 0.236  0.00
O 0.989 0.719 0.977  0.00
O 0.660 0.879 0.815  0.03
O 0.683 0.461 0.853  0.00
O 0.544 0.870 0.088  0.00
O 0.154 0.879 0.815  0.03
O 0.489 0.222 0.481  0.00
O 0.170 0.461 0.853  0.00
O 0.342 0.604 0.685  0.00
O 0.341 0.110 0.202  0.00
O 0.993 0.222 0.481  0.00
O 0.678 0.941 0.356  0.00
O 0.324 0.561 0.145  0.00
O 0.447 0.134 0.894  0.06
O 0.012 0.281 0.024  0.00
O 0.015 0.779 0.526  0.00
O 0.511 0.779 0.526  0.00
O 0.820 0.561 0.145  0.00
O 0.204 0.539 0.408  0.00
O 0.320 0.042 0.641  0.01
O 0.652 0.377 0.304  0.00
Sr 0.341 0.316 0.682  0.00
Sr 0.801 0.005 0.602  0.00
Sr 0.673 0.652 0.345  0.00
Sr 0.864 0.663 0.728  0.00
Sr 0.200 0.001 0.400  0.00
Sr 0.000 0.003 0.001  0.00
V 0.268 0.670 0.537  0.00
V 0.604 0.010 0.209  0.00
V 0.728 0.325 0.456  0.00
V 0.065 0.666 0.130  0.00
V 0.397 0.983 0.793  -0.02
V 0.939 0.350 0.877  0.00

Crystal system: monoclinic
Formation energy (no corrections): -60.139 eV per formula unit

***

This record from Alexandria via LeMat-Bulk describes a crystal of Ba2ZrCu relaxed with PBEsol. The functional is SCAN.

Cell lengths 4.784, 4.784, 6.075 Å; angles 113.19, 113.19, 90.00 degrees
Element x y z (fractional)
Zr 0.000 0.000 0.000
Ba 0.250 0.750 0.500
Ba 0.750 0.250 0.500
Cu 0.500 0.500 0.000

Crystal system: tetragonal
E above lowest polymorph: 398.8 meV/atom

***

This record from Alexandria via LeMat-Bulk describes a crystal of BePIrO2 relaxed with PBEsol. The functional is SCAN.

Cell lengths 3.674, 3.674, 5.234 Å; angles 90.00, 90.00, 90.00 degrees
Element x y z (fractional)
Ir 0.000 0.000 0.000
P 0.000 0.000 0.500
O 0.500 0.000 0.000
O 0.000 0.500 0.000
Be 0.500 0.500 0.500

Crystal system: tetragonal
Formation energy (no corrections): 0.257 eV per formula unit

***

This record from Alexandria via LeMat-Bulk describes a crystal of MgZrSe relaxed with PBEsol. The functional is SCAN.

Cell lengths 4.527, 4.527, 4.527 Å; angles 60.00, 60.00, 60.00 degrees
Site moments in Bohr magnetons follow the coordinates.
Element x y z (fractional)
Se 0.750 0.750 0.750  0.07
Mg 0.500 0.500 0.500  0.09
Zr 0.000 0.000 0.000  0.99

Crystal system: cubic
Formation energy (no corrections): -0.737 eV per formula unit
E above lowest polymorph: 428.3 meV/atom

***

Q: Number 1 is which compound?
A: ZrTl2As